DFT (PBE) results for an optimized crystal structure of KTbCo2Cl8.

Results
E_form (uncorrected)   -1.333 eV per atom

```
data_KTbCo2Cl8
_chemical_formula_sum 'K3 Tb3 Co6 Cl24'
_cell_length_a 6.4586
_cell_length_b 6.4586
_cell_length_c 28.8411
_cell_angle_alpha 90.00
_cell_angle_beta 90.00
_cell_angle_gamma 120.00
_space_group_name_H-M_alt 'R -3'
_space_group_IT_number 148
_space_group_name_Hall '-R 3'
loop_
_atom_site_label
_atom_site_type_symbol
_atom_site_fract_x
_atom_site_fract_y
_atom_site_fract_z
_atom_site_occupancy
K1 K 0.0000 0.0000 0.0000 1
Tb1 Tb 0.0000 0.0000 0.5000 1
Co1 Co 0.0000 0.0000 0.2472 1
Cl1 Cl 0.0000 0.0000 0.3229 1
Cl2 Cl 0.0000 0.3310 0.8881 1
```